FeAs3Pt: relaxed, PBE.

energy relative to the lowest polymorph listed for this composition = 0.0 meV per atom
E_form = 2.26 eV/f.u.

Cell lengths 4.4949, 4.4949, 4.4949 Å; angles 90.00, 90.00, 90.00 degrees
Last column: nearest neighbours and their distance in Å.
Space group Pm-3m (No. 221)
Asymmetric unit:
Fe: 0.0000 0.0000 0.0000 (multiplicity 1)  6 As 2.25
As: 0.0000 0.0000 0.5000 (multiplicity 3)  2 Fe 2.25
Pt: 0.5000 0.5000 0.5000 (multiplicity 1)  12 As 3.18